This record from Alexandria describes an optimized crystal structure of AlMoCl. The functional is PBE-GGA.

Cell: 3.0617 3.0617 6.1675 Å, 90.00 90.00 120.00°
Space group P3m1 (No. 156)
Unique sites:
Al: 0.0000 0.0000 0.0000 (multiplicity 1)
Mo: 0.3333 0.6667 0.6800 (multiplicity 1)
Cl: 0.6667 0.3333 0.3810 (multiplicity 1)

Calculated values
E above lowest polymorph = 0.0000 eV/atom
volume = 50 Å³/cell
formation energy from raw total energies = 0.072 eV/atom
magnetic moment = 0.0002 μB per atom